1.
## Pm2YPb (PBE-GGA)

Data for an optimized crystal structure of Pm2YPb.

The value obtained for the excess energy over the best structure of this formula in the dataset is 0.164 eV per atom. For the theoretical density, the calculation gives 7.457 g/cm³. The crystal system is trigonal. For the magnetization, the calculation gives 0.0648 μB per atom. The electronic total energy comes out at -5.073 eV/atom. For the density of states at the Fermi level, the calculation gives 1.1066 states/eV/atom. The volume is 32.6 Å³ per atom.

a = 3.666 Å, b = 3.666 Å, c = 11.408 Å
α = 80.75°, β = 80.75°, γ = 60.00°
Site moments in Bohr magnetons follow the coordinates.
Fractional coordinates of all 4 atoms:
Pm 0.081 0.081 0.758  0.01
Pm 0.253 0.253 0.241  0.02
Y 0.500 0.500 0.500  0.10
Pb 0.666 0.666 0.001  0.00



2.
## Pm4YPb2 (PBE-GGA)

Data for an optimized crystal structure of Pm4YPb2.

For the theoretical density, the calculation gives 7.783 g/cm³. The crystal system is tetragonal. For the magnetization, the calculation gives 0.0000 μB per atom. The electronic total energy comes out at -4.641 eV/atom. For the density of states at the Fermi level, the calculation gives 0.8063 states/eV/atom. The volume is 33.0 Å³ per atom.

a = 6.000 Å, b = 6.000 Å, c = 7.695 Å
α = 112.94°, β = 112.94°, γ = 90.00°
Fractional coordinates of all 7 atoms:
Pm 0.750 0.250 0.500
Pm 0.250 0.750 0.500
Pm 0.500 0.000 0.000
Pm 0.000 0.500 0.000
Y 0.000 0.000 0.000
Pb 0.631 0.631 0.263
Pb 0.369 0.369 0.737



3.
## PmYPb2 (PBE-GGA)

Data for an optimized crystal structure of PmYPb2.

For the theoretical density, the calculation gives 9.278 g/cm³. The crystal system is tetragonal. For the magnetization, the calculation gives 0.0003 μB per atom. The electronic total energy comes out at -5.142 eV/atom. For the density of states at the Fermi level, the calculation gives 0.9431 states/eV/atom. The volume is 29.0 Å³ per atom.

a = 3.581 Å, b = 3.581 Å, c = 9.048 Å
α = 90.00°, β = 90.00°, γ = 90.00°
Fractional coordinates of all 4 atoms:
Pb 0.000 0.000 0.756
Pb 0.000 0.000 0.244
Y 0.500 0.500 0.000
Pm 0.500 0.500 0.500



4.
## Pm3Y2Pb3 (PBE-GGA)

Data for an optimized crystal structure of Pm3Y2Pb3.

The value obtained for the excess energy over the best structure of this formula in the dataset is 0.153 eV per atom. For the theoretical density, the calculation gives 8.452 g/cm³. The crystal system is orthorhombic. For the magnetization, the calculation gives 0.0002 μB per atom. The electronic total energy comes out at -5.206 eV/atom. For the density of states at the Fermi level, the calculation gives 1.0686 states/eV/atom. The volume is 30.3 Å³ per atom.

a = 4.437 Å, b = 5.016 Å, c = 11.399 Å
α = 102.71°, β = 101.22°, γ = 90.00°
Fractional coordinates of all 8 atoms:
Pm 0.620 0.620 0.241
Pm 0.380 0.380 0.759
Pm 0.500 0.000 0.000
Y 0.744 0.244 0.489
Y 0.256 0.756 0.511
Pb 0.135 0.135 0.270
Pb 0.000 0.500 0.000
Pb 0.865 0.865 0.730



5.
## Pm2YPb (PBE-GGA)

Data for an optimized crystal structure of Pm2YPb.

The value obtained for the excess energy over the best structure of this formula in the dataset is 0.000 eV per atom. For the theoretical density, the calculation gives 8.098 g/cm³. The crystal system is tetragonal. For the magnetization, the calculation gives 0.0001 μB per atom. The electronic total energy comes out at -5.237 eV/atom. For the density of states at the Fermi level, the calculation gives 1.1906 states/eV/atom. The volume is 30.0 Å³ per atom.

a = 5.036 Å, b = 4.885 Å, c = 4.885 Å
α = 90.00°, β = 90.00°, γ = 90.00°
Fractional coordinates of all 4 atoms:
Pb 0.500 0.500 0.500
Y 0.500 0.000 0.000
Pm 0.000 0.000 0.500
Pm 0.000 0.500 0.000



6.
## PmYPb3 (PBE-GGA)

Data for an optimized crystal structure of PmYPb3.

For the theoretical density, the calculation gives 9.238 g/cm³. The crystal system is monoclinic. For the magnetization, the calculation gives 0.0000 μB per atom. The electronic total energy comes out at -4.847 eV/atom. For the density of states at the Fermi level, the calculation gives 0.6231 states/eV/atom. The volume is 30.8 Å³ per atom.

a = 6.483 Å, b = 9.954 Å, c = 12.149 Å
α = 128.31°, β = 90.00°, γ = 90.00°
Fractional coordinates of all 20 atoms:
Pm 0.750 0.633 0.455
Pm 0.250 0.367 0.545
Pm 0.250 0.867 0.045
Pm 0.750 0.133 0.955
Y 0.249 0.550 0.150
Y 0.751 0.450 0.850
Y 0.749 0.950 0.350
Y 0.251 0.050 0.650
Pb 0.999 0.249 0.250
Pb 0.001 0.751 0.750
Pb 0.499 0.251 0.250
Pb 0.501 0.749 0.750
Pb 0.250 0.642 0.452
Pb 0.750 0.358 0.548
Pb 0.750 0.858 0.048
Pb 0.250 0.142 0.952
Pb 0.751 0.046 0.651
Pb 0.249 0.954 0.349
Pb 0.251 0.454 0.849
Pb 0.749 0.546 0.151



7.
## PmYZnPb (PBE-GGA)

Data for an optimized crystal structure of PmYZnPb.

For the theoretical density, the calculation gives 7.944 g/cm³. The crystal system is cubic. For the magnetization, the calculation gives 0.0000 μB per atom. The electronic total energy comes out at -4.450 eV/atom. For the density of states at the Fermi level, the calculation gives 0.8247 states/eV/atom. The volume is 26.5 Å³ per atom.

a = 5.310 Å, b = 5.310 Å, c = 5.310 Å
α = 60.00°, β = 60.00°, γ = 60.00°
Fractional coordinates of all 4 atoms:
Pb 0.000 0.000 0.000
Y 0.750 0.750 0.750
Zn 0.500 0.500 0.500
Pm 0.250 0.250 0.250



8.
## Pm4ZnPb2 (PBE-GGA)

Data for an optimized crystal structure of Pm4ZnPb2.

The value obtained for the excess energy over the best structure of this formula in the dataset is 0.176 eV per atom. For the theoretical density, the calculation gives 7.460 g/cm³. The crystal system is tetragonal. For the magnetization, the calculation gives 0.0793 μB per atom. The electronic total energy comes out at -4.118 eV/atom. For the density of states at the Fermi level, the calculation gives 0.9398 states/eV/atom. The volume is 33.7 Å³ per atom.

a = 5.278 Å, b = 5.278 Å, c = 9.254 Å
α = 106.57°, β = 106.57°, γ = 90.00°
Site moments in Bohr magnetons follow the coordinates.
Fractional coordinates of all 7 atoms:
Pb 0.634 0.634 0.267  0.00
Pb 0.366 0.366 0.733  0.00
Zn 0.000 0.000 0.000  0.05
Pm 0.822 0.822 0.644  0.01
Pm 0.178 0.178 0.356  0.01
Pm 0.000 0.500 0.000  0.12
Pm 0.500 0.000 0.000  0.12



9.
## Pm4Zn3Pb (PBE-GGA)

Data for an optimized crystal structure of Pm4Zn3Pb.

The value obtained for the excess energy over the best structure of this formula in the dataset is 0.000 eV per atom. For the theoretical density, the calculation gives 7.836 g/cm³. The crystal system is tetragonal. For the magnetization, the calculation gives 0.0000 μB per atom. The electronic total energy comes out at -3.679 eV/atom. For the density of states at the Fermi level, the calculation gives 1.0427 states/eV/atom. The volume is 26.1 Å³ per atom.

a = 5.252 Å, b = 7.554 Å, c = 10.506 Å
α = 90.00°, β = 90.00°, γ = 90.00°
Fractional coordinates of all 16 atoms:
Pb 0.000 0.500 0.000
Pb 0.000 0.500 0.500
Zn 0.000 0.000 0.000
Zn 0.000 0.000 0.500
Zn 0.500 0.000 0.750
Zn 0.500 0.000 0.250
Zn 0.499 0.500 0.750
Zn 0.501 0.500 0.250
Pm 0.500 0.764 0.000
Pm 0.500 0.764 0.500
Pm 0.500 0.236 0.000
Pm 0.500 0.236 0.500
Pm 0.000 0.764 0.750
Pm 0.000 0.764 0.250
Pm 0.000 0.236 0.250
Pm 0.000 0.236 0.750



10.
## PmZnPb2 (PBE-GGA)

Data for an optimized crystal structure of PmZnPb2.

For the theoretical density, the calculation gives 9.880 g/cm³. The crystal system is tetragonal. For the magnetization, the calculation gives 0.0000 μB per atom. The electronic total energy comes out at -3.672 eV/atom. For the density of states at the Fermi level, the calculation gives 0.5019 states/eV/atom. The volume is 26.3 Å³ per atom.

a = 4.577 Å, b = 4.790 Å, c = 4.790 Å
α = 90.00°, β = 90.00°, γ = 90.00°
Fractional coordinates of all 4 atoms:
Pb 0.000 0.000 0.500
Pb 0.000 0.500 0.000
Zn 0.500 0.000 0.000
Pm 0.500 0.500 0.500



11.
## PmZnPb (PBE-GGA)

Data for an optimized crystal structure of PmZnPb.

The value obtained for the excess energy over the best structure of this formula in the dataset is 0.011 eV per atom. For the theoretical density, the calculation gives 9.080 g/cm³. The crystal system is orthorhombic. For the magnetization, the calculation gives 0.0000 μB per atom. The electronic total energy comes out at -3.616 eV/atom. For the density of states at the Fermi level, the calculation gives 0.3203 states/eV/atom. The volume is 25.5 Å³ per atom.

a = 4.773 Å, b = 6.144 Å, c = 6.144 Å
α = 84.09°, β = 67.14°, γ = 67.14°
Fractional coordinates of all 6 atoms:
Pm 0.000 0.635 0.365
Pm 0.500 0.161 0.839
Zn 0.178 0.801 0.843
Zn 0.822 0.157 0.199
Pb 0.253 0.060 0.435
Pb 0.747 0.565 0.940



Which value of theoretical density does entry 6 give? 9.238 g/cm³